# 1
This record from OQMD describes a relaxed structure of Ni2Pt3. The functional is GGA-PBE.

Values from the calculation:
Spin magnetization, Bohr magnetons per cell: 5.041
Energy relative to the elements, eV/atom: 0.253
Symmetry: No. 167

Cell lengths 5.5560, 5.5560, 5.5560 Å; angles 71.09, 71.09, 71.09 degrees
With the nearest neighbours (Å) after each atom.
Positions (direct):
Ni (0.0914, 0.0914, 0.0914)  1 Ni 2.26, 3 Pt 2.46
Ni (0.4086, 0.4086, 0.4086)  1 Ni 2.26, 3 Pt 2.46
Ni (0.5914, 0.5914, 0.5914)  1 Ni 2.26, 3 Pt 2.46
Ni (0.9086, 0.9086, 0.9086)  1 Ni 2.26, 3 Pt 2.46
Pt (0.0016, 0.7500, 0.4984)  4 Ni 2.46-2.55
Pt (0.2500, 0.5016, 0.9984)  4 Ni 2.46-2.55
Pt (0.4984, 0.0016, 0.7500)  4 Ni 2.46-2.55
Pt (0.5016, 0.9984, 0.2500)  4 Ni 2.46-2.55
Pt (0.7500, 0.4984, 0.0016)  4 Ni 2.46-2.55
Pt (0.9984, 0.2500, 0.5016)  4 Ni 2.46-2.55

# 2
This record from OQMD describes a relaxed structure of AlZnCdCu. The functional is GGA-PBE.

Values from the calculation:
Symmetry: No. 216
Energy above the lowest structure with this stoichiometry, eV per formula unit: 0.15

Cell lengths 4.4990, 4.4990, 4.4990 Å; angles 60.00, 60.00, 60.00 degrees
With the nearest neighbours (Å) after each atom.
Positions (direct):
Al (0.0000, 0.0000, 0.0000)  4 Cd 2.76, 4 Cu 2.76
Zn (0.5000, 0.5000, 0.5000)  4 Cd 2.76, 4 Cu 2.76
Cd (0.7500, 0.7500, 0.7500)  4 Zn 2.76, 4 Al 2.76
Cu (0.2500, 0.2500, 0.2500)  4 Al 2.76, 4 Zn 2.76

# 3
This record from OQMD describes a relaxed structure of La2PrZn2Cu2Si4. The functional is GGA-PBE.

Values from the calculation:
Spin magnetization, Bohr magnetons per cell: 0.252
Symmetry: No. 71
Energy above the lowest structure with this stoichiometry, eV per formula unit: 0.00

Cell lengths 12.5109, 12.5109, 12.5109 Å; angles 160.66, 160.51, 27.59 degrees
With the nearest neighbours (Å) after each atom.
Positions (direct):
La (0.1522, 0.1522, 0.0000)  4 Cu 3.17-3.19, 6 Si 3.19-3.29, 4 Zn 3.26
La (0.8478, 0.8478, 0.0000)  4 Cu 3.17-3.19, 6 Si 3.19-3.29, 4 Zn 3.26
Pr (0.0000, 0.5000, 0.5000)  4 Zn 3.18, 8 Si 3.21
Zn (0.4023, 0.4023, 0.0000)  3 Si 2.42-2.45
Zn (0.5977, 0.5977, 0.0000)  3 Si 2.42-2.45
Cu (0.2498, 0.7498, 0.5000)  4 Si 2.45-2.46
Cu (0.7502, 0.2502, 0.5000)  4 Si 2.45-2.46
Si (0.3016, 0.3016, 0.0000)  1 Zn 2.45, 4 Cu 2.45-2.46
Si (0.4517, 0.9517, 0.5000)  1 Si 2.35, 2 Zn 2.42
Si (0.5483, 0.0483, 0.5000)  1 Si 2.35, 2 Zn 2.42
Si (0.6984, 0.6984, 0.0000)  1 Zn 2.45, 4 Cu 2.45-2.46

# 4
This record from OQMD describes a relaxed structure of Hf31IrO64. The functional is GGA-PBE.

Values from the calculation:
Spin magnetization, Bohr magnetons per cell: 0.978
Symmetry: No. 1
Energy above the lowest structure with this stoichiometry, eV per formula unit: 0.00

Cell lengths 9.9717, 10.0793, 10.4136 Å; angles 89.91, 89.86, 89.89 degrees
With the nearest neighbours (Å) after each atom.
Positions (direct):
Hf (0.0000, 0.0000, 0.0000)  7 O 2.03-2.21
Hf (0.0003, 0.9999, 0.4998)  7 O 2.04-2.21
Hf (0.0001, 0.2504, 0.2854)  7 O 2.04-2.21
Hf (0.9996, 0.5012, 0.9994)  7 O 2.04-2.21
Hf (0.0004, 0.5019, 0.4993)  7 O 2.03-2.21
Hf (0.0008, 0.2500, 0.7861)  7 O 2.04-2.21
Hf (0.2685, 0.2494, 0.5361)  7 O 2.03-2.26
Hf (0.2687, 0.2501, 0.0347)  7 O 2.03-2.21
Hf (0.2692, 0.4998, 0.2494)  7 O 2.04-2.21
Hf (0.2693, 0.5008, 0.7495)  7 O 2.04-2.21
Hf (0.2688, 0.7500, 0.0340)  7 O 2.04-2.21
Hf (0.2688, 0.9981, 0.2499)  7 O 2.03-2.21
Hf (0.2696, 0.7506, 0.5323)  7 O 2.05-2.21
Hf (0.2698, 0.9993, 0.7475)  7 O 2.05-2.24
Hf (0.4983, 0.0039, 0.9990)  7 O 2.04-2.21
Hf (0.4982, 0.2532, 0.2834)  7 O 2.03-2.19
Hf (0.4979, 0.7556, 0.2885)  7 O 2.06-2.20
Hf (0.5000, 0.5023, 0.4996)  7 O 2.04-2.19
Hf (0.4998, 0.5059, 0.9997)  7 O 2.04-2.20
Hf (0.5000, 0.7556, 0.7824)  7 O 2.03-2.21
Hf (0.5015, 0.2554, 0.7866)  7 O 2.04-2.21
Hf (0.7661, 0.7559, 0.5338)  7 O 2.03-2.21
Hf (0.7675, 0.0053, 0.2513)  7 O 2.07-2.21
Hf (0.7676, 0.0061, 0.7504)  7 O 2.03-2.22
Hf (0.7683, 0.5051, 0.2502)  7 O 2.04-2.21
Hf (0.7678, 0.7550, 0.0356)  7 O 2.04-2.20
Hf (0.7695, 0.2552, 0.0358)  7 O 2.04-2.21
Hf (0.7696, 0.5051, 0.7496)  7 O 2.04-2.21
Hf (0.7733, 0.2555, 0.5370)  7 O 2.08-2.19
Hf (0.9985, 0.7507, 0.2847)  7 O 2.03-2.20
Hf (0.9991, 0.7512, 0.7843)  7 O 2.05-2.20
Ir (0.5052, 0.0197, 0.5014)  6 O 2.00-2.17
O (0.0917, 0.8128, 0.4553)  3 Hf 2.05-2.14
O (0.0941, 0.3143, 0.9555)  3 Hf 2.03-2.15
O (0.0941, 0.5647, 0.8295)  3 Hf 2.04-2.16
O (0.0937, 0.8135, 0.9536)  3 Hf 2.04-2.15
O (0.0947, 0.0635, 0.8298)  3 Hf 2.05-2.15
O (0.0953, 0.0646, 0.3306)  3 Hf 2.03-2.15
O (0.0948, 0.3141, 0.4553)  3 Hf 2.03-2.16
O (0.0946, 0.5646, 0.3295)  3 Hf 2.04-2.16
O (0.1716, 0.8144, 0.2020)  3 Hf 2.03-2.15
O (0.1744, 0.0642, 0.0790)  3 Hf 2.03-2.15
O (0.1744, 0.0650, 0.5804)  3 Hf 2.04-2.13
O (0.1753, 0.3133, 0.2053)  3 Hf 2.04-2.15
O (0.1751, 0.5632, 0.0793)  3 Hf 2.04-2.15
O (0.1750, 0.5630, 0.5798)  3 Hf 2.03-2.17
O (0.1760, 0.3130, 0.7062)  3 Hf 2.04-2.16
O (0.1757, 0.8143, 0.7034)  3 Hf 2.05-2.14
O (0.3515, 0.8722, 0.3894)  3 Hf 2.09-2.15
O (0.3602, 0.8787, 0.8954)  4 Hf 2.14-2.20
O (0.3606, 0.1295, 0.8858)  4 Hf 2.15-2.21
O (0.3607, 0.3757, 0.3975)  4 Hf 2.13-2.19
O (0.3613, 0.3796, 0.8986)  4 Hf 2.13-2.21
O (0.3613, 0.6294, 0.8857)  4 Hf 2.13-2.20
O (0.3620, 0.6251, 0.3874)  4 Hf 2.13-2.19
O (0.3629, 0.1246, 0.3923)  1 Ir 2.10, 3 Hf 2.17-2.19
O (0.4067, 0.1254, 0.1494)  4 Hf 2.11-2.21
O (0.4073, 0.6263, 0.1489)  4 Hf 2.15-2.21
O (0.4071, 0.8755, 0.1344)  4 Hf 2.12-2.21
O (0.4083, 0.3747, 0.6370)  4 Hf 2.13-2.21
O (0.4076, 0.6260, 0.6475)  4 Hf 2.13-2.21
O (0.4087, 0.3755, 0.1367)  4 Hf 2.14-2.21
O (0.4102, 0.8771, 0.6278)  3 Hf 2.14-2.24, 1 Ir 2.17
O (0.4134, 0.1232, 0.6498)  1 Ir 2.08, 3 Hf 2.14-2.26
O (0.5923, 0.9410, 0.3380)  1 Ir 2.07, 2 Hf 2.07-2.16
O (0.5944, 0.1906, 0.9560)  3 Hf 2.04-2.16
O (0.5935, 0.6920, 0.9537)  3 Hf 2.04-2.15
O (0.5940, 0.9412, 0.8315)  3 Hf 2.03-2.16
O (0.5953, 0.4361, 0.3312)  3 Hf 2.04-2.14
O (0.5949, 0.4413, 0.8306)  3 Hf 2.04-2.14
O (0.5949, 0.6861, 0.4539)  3 Hf 2.03-2.14
O (0.5975, 0.1884, 0.4530)  1 Ir 2.00, 2 Hf 2.08-2.13
O (0.6714, 0.9407, 0.0842)  3 Hf 2.04-2.16
O (0.6718, 0.9424, 0.5829)  1 Ir 2.02, 2 Hf 2.09-2.16
O (0.6742, 0.1911, 0.2052)  3 Hf 2.03-2.14
O (0.6743, 0.6901, 0.7043)  3 Hf 2.03-2.14
O (0.6735, 0.6912, 0.2050)  3 Hf 2.06-2.15
O (0.6753, 0.4398, 0.5805)  3 Hf 2.04-2.15
O (0.6746, 0.4419, 0.0803)  3 Hf 2.04-2.16
O (0.6768, 0.1936, 0.7057)  3 Hf 2.04-2.14
O (0.8604, 0.6267, 0.3976)  4 Hf 2.14-2.20
O (0.8601, 0.8768, 0.8870)  4 Hf 2.14-2.21
O (0.8614, 0.1267, 0.8994)  4 Hf 2.13-2.21
O (0.8614, 0.3766, 0.8870)  4 Hf 2.13-2.21
O (0.8607, 0.6270, 0.8977)  4 Hf 2.14-2.20
O (0.8606, 0.8770, 0.3867)  4 Hf 2.13-2.21
O (0.8617, 0.1263, 0.3991)  4 Hf 2.13-2.21
O (0.8620, 0.3766, 0.3872)  4 Hf 2.14-2.21
O (0.9044, 0.8801, 0.6478)  4 Hf 2.14-2.21
O (0.9058, 0.8793, 0.1482)  4 Hf 2.13-2.20
O (0.9074, 0.1287, 0.1381)  4 Hf 2.14-2.21
O (0.9075, 0.6291, 0.1362)  4 Hf 2.13-2.21
O (0.9074, 0.6301, 0.6357)  4 Hf 2.13-2.21
O (0.9078, 0.3792, 0.1486)  4 Hf 2.13-2.21
O (0.9095, 0.1296, 0.6374)  4 Hf 2.13-2.22
O (0.9097, 0.3795, 0.6485)  4 Hf 2.14-2.19